Entry one
VASP calculation (PBE) on a relaxed structure of LiMn2S4.

Results
**Mass density**: 2.8 g/cm3

Cell: 4.537 4.537 7.778 Å, 73.04 73.04 90.00°
Last column: magnetic moment on the atom in μB.
Fractional positions:
1 Mn 0.590 0.590 0.820  3.50
2 S 0.500 0.000 0.000  -0.06
3 S 0.737 0.737 0.526  -0.21
4 S 0.000 0.500 0.000  -0.06
5 Mn 0.410 0.410 0.180  3.50
6 S 0.263 0.263 0.474  -0.21
7 Li 0.000 0.000 0.000  0.01



Entry two
VASP calculation (PBE) on a relaxed structure of LiMn2S4.

Results
**Mass density**: 3.5 g/cm3

Cell: 6.883 6.883 6.883 Å, 119.73 119.94 90.29°
Last column: magnetic moment on the atom in μB.
Fractional positions:
1 Li 0.500 0.500 0.500  0.00
2 S 0.758 0.276 0.018  -0.05
3 Li 0.500 0.000 0.000  0.00
4 Mn 0.000 0.000 0.500  2.62
5 S 0.242 0.724 0.982  -0.05
6 S 0.224 0.742 0.482  -0.05
7 Mn 0.000 0.500 0.500  2.65
8 S 0.241 0.258 0.982  -0.05
9 S 0.242 0.260 0.518  -0.05
10 Mn 0.000 0.500 0.000  2.62
11 Mn 0.500 0.500 0.000  2.65
12 S 0.759 0.742 0.018  -0.05
13 S 0.776 0.258 0.518  -0.05
14 S 0.758 0.740 0.482  -0.05



Entry three
VASP calculation (PBE) on a relaxed structure of LiMn2S4.

Results
**Mass density**: 3.4 g/cm3

Cell: 6.970 6.970 6.970 Å, 60.00 60.00 60.00°
Last column: magnetic moment on the atom in μB.
Fractional positions:
1 S 0.838 0.387 0.387  -0.06
2 S 0.387 0.387 0.387  -0.06
3 Li 0.250 0.250 0.250  0.01
4 S 0.387 0.387 0.838  -0.06
5 S 0.863 0.863 0.412  -0.06
6 Mn 0.625 0.625 0.625  2.58
7 S 0.863 0.863 0.863  -0.06
8 Mn 0.125 0.625 0.625  2.58
9 S 0.387 0.838 0.387  -0.06
10 Mn 0.625 0.125 0.625  2.58
11 S 0.863 0.412 0.863  -0.06
12 Mn 0.625 0.625 0.125  2.58
13 Li 0.000 0.000 0.000  0.01
14 S 0.412 0.863 0.863  -0.06



Order from most stable to least stable according to the calculation: entry three, entry two, entry one



Entry one
VASP calculation (PBE) on a relaxed structure of LiMnS3.

Results
**Mass density**: 2.9 g/cm3

Cell: 4.474 4.474 4.474 Å, 90.00 90.00 90.00°
Fractional positions:
1 S 0.000 0.000 0.500
2 S 0.500 0.000 0.000
3 Li 0.500 0.500 0.500
4 Mn 0.000 0.000 0.000
5 S 0.000 0.500 0.000



Entry two
VASP calculation (PBE) on a relaxed structure of LiMnS3.

Results
**Mass density**: 3.1 g/cm3

Cell: 4.398 4.398 4.398 Å, 90.00 90.00 90.00°
Last column: magnetic moment on the atom in μB.
Fractional positions:
1 S 0.000 0.500 0.000  -0.27
2 Li 0.000 0.000 0.000  -0.02
3 S 0.000 0.000 0.500  -0.24
4 S 0.500 0.000 0.000  -0.18
5 Mn 0.500 0.500 0.500  4.37



Order from most stable to least stable according to the calculation: entry one, entry two



Entry one
VASP calculation (PBE) on a relaxed structure of Li2MnS2.

Results
**Mass density**: 2.9 g/cm3

Cell: 6.534 6.534 3.618 Å, 90.00 90.00 90.00°
Last column: magnetic moment on the atom in μB.
Fractional positions:
1 S 0.678 0.178 0.000  0.02
2 S 0.822 0.678 0.000  0.02
3 Li 0.861 0.361 0.500  0.00
4 Li 0.139 0.639 0.500  0.00
5 S 0.322 0.822 0.000  0.02
6 Mn 0.500 0.500 0.000  3.57
7 Li 0.361 0.139 0.500  0.00
8 Li 0.639 0.861 0.500  0.00
9 S 0.178 0.322 0.000  0.02
10 Mn 0.000 0.000 0.000  3.59



Entry two
VASP calculation (PBE) on a relaxed structure of Li2MnS2.

Results
**Mass density**: 2.5 g/cm3

Cell: 6.122 6.122 6.415 Å, 117.83 117.83 91.24°
Last column: magnetic moment on the atom in μB.
Fractional positions:
1 Mn 0.125 0.375 0.250  4.31
2 S 0.860 0.640 0.250  0.08
3 Li 0.481 0.731 0.962  0.01
4 Mn 0.875 0.625 0.750  4.31
5 S 0.610 0.890 0.750  0.08
6 Li 0.769 0.019 0.538  0.01
7 S 0.140 0.360 0.750  0.08
8 Li 0.519 0.269 0.038  0.01
9 S 0.390 0.110 0.250  0.08
10 Li 0.231 0.981 0.462  0.01



Order from most stable to least stable according to the calculation: entry two, entry one



Entry one
VASP calculation (PBE) on a relaxed structure of Li2MnSnS4.

Results
**Mass density**: 3.6 g/cm3

Cell: 3.663 6.428 6.500 Å, 109.45 90.00 90.00°
Last column: magnetic moment on the atom in μB.
Fractional positions:
1 Li 0.000 0.500 0.500  0.02
2 S 0.500 0.238 0.229  0.01
3 S 0.000 0.248 0.751  0.03
4 Sn 0.500 0.500 0.000  -0.01
5 Mn 0.000 0.000 0.000  4.09
6 S 0.500 0.762 0.771  0.01
7 S 0.000 0.752 0.249  0.03
8 Li 0.500 0.000 0.500  0.00



Entry two
VASP calculation (PBE) on a relaxed structure of Li2MnSnS4.

Results
**Mass density**: 2.9 g/cm3

Cell: 6.483 8.047 13.742 Å, 90.00 90.00 90.00°
Last column: magnetic moment on the atom in μB.
Fractional positions:
1 Mn 0.137 0.494 0.166  4.20
2 Sn 0.136 0.243 0.414  0.05
3 Sn 0.636 0.743 0.086  0.05
4 S 0.761 0.258 0.911  0.04
5 S 0.265 0.503 0.833  0.03
6 S 0.765 0.003 0.667  0.03
7 S 0.758 0.749 0.419  0.04
8 Li 0.638 0.002 0.835  0.01
9 Li 0.640 0.248 0.080  0.01
10 S 0.257 0.492 0.332  0.04
11 S 0.258 0.249 0.081  0.04
12 Mn 0.137 0.006 0.666  4.20
13 Li 0.638 0.498 0.335  0.01
14 S 0.257 0.008 0.832  0.04
15 S 0.757 0.508 0.668  0.04
16 Li 0.640 0.252 0.580  0.01
17 Li 0.138 0.998 0.165  0.01
18 Mn 0.637 0.506 0.834  4.20
19 S 0.261 0.742 0.089  0.04
20 Li 0.140 0.748 0.420  0.01
21 Mn 0.637 0.994 0.334  4.20
22 S 0.758 0.751 0.919  0.04
23 S 0.265 0.997 0.333  0.03
24 S 0.258 0.251 0.581  0.04
25 Sn 0.636 0.757 0.586  0.05
26 S 0.761 0.242 0.411  0.04
27 S 0.261 0.758 0.589  0.04
28 Sn 0.136 0.257 0.914  0.05
29 S 0.765 0.497 0.167  0.03
30 Li 0.138 0.502 0.665  0.01
31 Li 0.140 0.752 0.920  0.01
32 S 0.757 0.992 0.168  0.04



Order from most stable to least stable according to the calculation: entry two, entry one



Entry one
VASP calculation (PBE) on a relaxed structure of LiMnSb2.

Results
**Mass density**: 6.1 g/cm3

Cell: 5.156 5.156 3.183 Å, 90.00 90.00 100.58°
Last column: magnetic moment on the atom in μB.
Fractional positions:
1 Li 0.500 0.000 0.500  0.00
2 Mn 0.000 0.500 0.500  3.71
3 Sb 0.500 0.500 0.000  -0.02
4 Sb 0.000 0.000 0.000  -0.02



Entry two
VASP calculation (PBE) on a relaxed structure of LiMnSb2.

Results
**Mass density**: 6.1 g/cm3

Cell: 3.109 3.463 7.713 Å, 90.00 90.00 90.00°
Last column: magnetic moment on the atom in μB.
Fractional positions:
1 Sb 0.000 0.000 0.974  -0.09
2 Sb 0.000 0.000 0.526  -0.09
3 Li 0.500 0.500 0.250  0.01
4 Mn 0.500 0.500 0.750  3.13



Entry three
VASP calculation (PBE) on a relaxed structure of LiMnSb2.

Results
**Mass density**: 6.1 g/cm3

Cell: 4.621 4.626 3.903 Å, 90.00 90.00 90.00°
Last column: magnetic moment on the atom in μB.
Fractional positions:
1 Sb 0.500 0.500 0.000  -0.04
2 Mn 0.000 0.500 0.500  3.79
3 Li 0.500 0.000 0.500  -0.01
4 Sb 0.000 0.000 0.000  -0.04



Entry four
VASP calculation (PBE) on a relaxed structure of LiMnSb2.

Results
**Mass density**: 4.8 g/cm3

Cell: 3.152 3.152 10.603 Å, 90.00 90.00 90.00°
Last column: magnetic moment on the atom in μB.
Fractional positions:
1 Li 0.500 0.500 0.500  0.00
2 Mn 0.500 0.500 0.000  3.81
3 Sb 0.500 0.500 0.250  -0.01
4 Sb 0.500 0.500 0.750  -0.01



Order from most stable to least stable according to the calculation: entry two, entry one, entry three, entry four



Entry one
VASP calculation (PBE) on a relaxed structure of LiMnSb2.

Results
**Mass density**: 6.1 g/cm3

Cell: 5.175 5.175 3.197 Å, 84.69 84.69 101.16°
Last column: magnetic moment on the atom in μB.
Fractional positions:
1 Sb 0.000 0.000 0.000  -0.02
2 Sb 0.500 0.500 0.000  -0.02
3 Mn 0.000 0.500 0.500  3.71
4 Li 0.500 0.000 0.500  0.01



Entry two
VASP calculation (PBE) on a relaxed structure of LiMnSb2.

Results
**Mass density**: 5.5 g/cm3

Cell: 7.658 7.658 6.260 Å, 52.29 52.29 90.00°
Last column: magnetic moment on the atom in μB.
Fractional positions:
1 Mn 0.750 0.250 0.500  3.71
2 Mn 0.000 0.000 0.000  3.70
3 Li 0.250 0.750 0.500  0.00
4 Sb 0.375 0.354 0.750  -0.09
5 Li 0.500 0.500 0.000  0.00
6 Sb 0.104 0.625 0.250  -0.08
7 Sb 0.646 0.125 0.250  -0.09
8 Sb 0.875 0.896 0.750  -0.08



Order from most stable to least stable according to the calculation: entry one, entry two